DFT (meta-GGA SCAN) results for a crystal of CaLa2Y relaxed with PBEsol.

abc: 5.8252 5.8252 5.8252
angles: 60.00 60.00 60.00
Last column: nearest neighbours and their distance in Å.
Fractional coordinates of all 4 atoms:
Y (0.5000, 0.5000, 0.5000)  8 La 3.57
La (0.7500, 0.7500, 0.7500)  4 Y 3.57, 4 Ca 3.57
La (0.2500, 0.2500, 0.2500)  4 Ca 3.57, 4 Y 3.57
Ca (0.0000, 0.0000, 0.0000)  8 La 3.57

Symmetry: Fm-3m, No. 225
Energy relative to the elements (meV/atom): 96
Total magnetic moment (μB per cell): 0.00

***

DFT (meta-GGA SCAN) results for a crystal of CaLa3Zn relaxed with PBEsol.

abc: 5.6555 5.6555 5.6555
angles: 90.00 90.00 90.00
Last column: nearest neighbours and their distance in Å.
Fractional coordinates of all 5 atoms:
La (0.5000, 0.0000, 0.0000)  2 Ca 2.83
La (0.0000, 0.0000, 0.5000)  2 Ca 2.83
La (0.0000, 0.5000, 0.0000)  2 Ca 2.83
Zn (0.5000, 0.5000, 0.5000)  12 La 4.00
Ca (0.0000, 0.0000, 0.0000)  6 La 2.83

Symmetry: Pm-3m, No. 221
Energy relative to the elements (meV/atom): 902
Total magnetic moment (μB per cell): 0.00

***

DFT (meta-GGA SCAN) results for a crystal of CaLa4Zn relaxed with PBEsol.

abc: 6.5299 6.5299 6.5299
angles: 60.00 60.00 60.00
Last column: nearest neighbours and their distance in Å.
Fractional coordinates of all 6 atoms:
Ca (0.0000, 0.0000, 0.0000)  12 La 3.84, 4 Zn 4.00
La (0.3783, 0.8651, 0.3783)  6 La 3.18-3.35
La (0.3783, 0.3783, 0.3783)  6 La 3.18-3.35
La (0.3783, 0.3783, 0.8651)  6 La 3.18-3.35
La (0.8651, 0.3783, 0.3783)  6 La 3.18-3.35
Zn (0.7500, 0.7500, 0.7500)  12 La 3.82, 4 Ca 4.00

Symmetry: F-43m, No. 216
Energy relative to the elements (meV/atom): 305
Total magnetic moment (μB per cell): 0.00

***

DFT (meta-GGA SCAN) results for a crystal of CaLa2Zr relaxed with PBEsol.

abc: 3.5966 4.5611 7.7320
angles: 90.00 90.00 90.00
Last column: nearest neighbours and their distance in Å.
Fractional coordinates of all 4 atoms:
Zr (0.5000, 0.5000, 0.0000)  8 La 3.35, 2 Zr 3.60
La (0.0000, 0.0000, 0.7841)  3 La 3.34-3.60, 4 Zr 3.35, 4 Ca 3.64
La (0.0000, 0.0000, 0.2159)  3 La 3.34-3.60, 4 Zr 3.35, 4 Ca 3.64
Ca (0.5000, 0.5000, 0.5000)  2 Ca 3.60, 8 La 3.64, 2 Zr 3.87

Symmetry: Pmmm, No. 47
Energy relative to the elements (meV/atom): 184
Total magnetic moment (μB per cell): 0.00

***

DFT (meta-GGA SCAN) results for a crystal of CaLa3Zr relaxed with PBEsol.

abc: 5.7497 5.7497 5.7497
angles: 90.00 90.00 90.00
Last column: nearest neighbours and their distance in Å.
Fractional coordinates of all 5 atoms:
La (0.0000, 0.0000, 0.5000)  2 Zr 2.87
La (0.5000, 0.0000, 0.0000)  2 Zr 2.87
La (0.0000, 0.5000, 0.0000)  2 Zr 2.87
Ca (0.5000, 0.5000, 0.5000)  12 La 4.07
Zr (0.0000, 0.0000, 0.0000)  6 La 2.87

Symmetry: Pm-3m, No. 221
Energy relative to the elements (meV/atom): 349
Total magnetic moment (μB per cell): 0.41

***

DFT (meta-GGA SCAN) results for a crystal of Ca2LaZr relaxed with PBEsol.

abc: 3.4698 3.4698 10.8319
angles: 90.00 90.00 90.00
Last column: nearest neighbours and their distance in Å.
Fractional coordinates of all 4 atoms:
Ca (0.5000, 0.5000, 0.2537)  4 Ca 3.47
Ca (0.0000, 0.0000, 0.9732)  4 Ca 3.47, 4 Zr 3.53
La (0.0000, 0.0000, 0.5339)  4 Zr 3.31, 4 La 3.47
Zr (0.5000, 0.5000, 0.7393)  4 La 3.31, 4 Zr 3.47, 4 Ca 3.53

Symmetry: P4mm, No. 99
Energy relative to the elements (meV/atom): 199
Total magnetic moment (μB per cell): 0.19

***

Question: Which of these has the highest energy relative to the elements?
Answer: CaLa3Zn

***

Question: Which of these has the highest total magnetic moment?
Answer: CaLa3Zr